No. 1
# UAlCo2H6

A geometry-optimized UAlCo2H6 structure (GGA-PBE, Alexandria via LeMat-Bulk).

```
data_UAlCo2H6
_cell_length_a 4.1912
_cell_length_b 4.1912
_cell_length_c 15.2146
_cell_angle_alpha 90.00
_cell_angle_beta 90.00
_cell_angle_gamma 120.00
_space_group_name_H-M_alt 'R -3 m'
_space_group_IT_number 166
_space_group_name_Hall '-R 3 2"'
loop_
_atom_site_label
_atom_site_fract_x
_atom_site_fract_y
_atom_site_fract_z
_atom_site_occupancy
U1 0.0000 0.0000 0.0000 1
Al1 0.0000 0.0000 0.5000 1
Co1 0.0000 0.0000 0.2079 1
H1 0.0056 0.5028 0.0614 1
```

Values from the calculation:
- DFT total energy: -0.1895 Ha/atom
- Calculated volume: 231.5 Å³/cell
- Fermi-level density of states: 18.576 states/eV per cell



No. 2
# AlVCo2H

A geometry-optimized AlVCo2H structure (GGA-PBE, Alexandria via LeMat-Bulk).

```
data_AlVCo2H
_cell_length_a 3.695
_cell_length_b 3.695
_cell_length_c 3.661
_cell_angle_alpha 90.00
_cell_angle_beta 90.00
_cell_angle_gamma 90.00
_space_group_name_H-M_alt 'P 4/m m m'
_space_group_IT_number 123
_space_group_name_Hall '-P 4 2'
loop_
_atom_site_label
_atom_site_fract_x
_atom_site_fract_y
_atom_site_fract_z
_atom_site_occupancy
Al1 0.000 0.000 0.000 1
V1 0.500 0.500 0.000 1
Co1 0.000 0.500 0.500 1
H1 0.500 0.500 0.500 1
```

Values from the calculation:
- DFT total energy: -0.2305 Ha/atom
- Calculated volume: 50.0 Å³/cell
- Fermi-level density of states: 5.518 states/eV per cell



No. 3
# AlCo2HW

A geometry-optimized AlCo2HW structure (GGA-PBE, Alexandria via LeMat-Bulk).

```
data_AlCo2HW
_cell_length_a 3.730
_cell_length_b 3.730
_cell_length_c 3.842
_cell_angle_alpha 90.00
_cell_angle_beta 90.00
_cell_angle_gamma 90.00
_space_group_name_H-M_alt 'P 4/m m m'
_space_group_IT_number 123
_space_group_name_Hall '-P 4 2'
loop_
_atom_site_label
_atom_site_fract_x
_atom_site_fract_y
_atom_site_fract_z
_atom_site_occupancy
Al1 0.000 0.000 0.000 1
Co1 0.000 0.500 0.500 1
H1 0.500 0.500 0.500 1
W1 0.500 0.500 0.000 1
```

Values from the calculation:
- DFT total energy: -0.2510 Ha/atom
- Calculated volume: 53.4 Å³/cell
- Fermi-level density of states: 4.343 states/eV per cell



No. 4
# Y2AlCoH

A geometry-optimized Y2AlCoH structure (GGA-PBE, Alexandria via LeMat-Bulk).

```
data_Y2AlCoH
_cell_length_a 4.948
_cell_length_b 4.948
_cell_length_c 3.548
_cell_angle_alpha 90.00
_cell_angle_beta 90.00
_cell_angle_gamma 90.00
_space_group_name_H-M_alt 'P 4/m m m'
_space_group_IT_number 123
_space_group_name_Hall '-P 4 2'
loop_
_atom_site_label
_atom_site_fract_x
_atom_site_fract_y
_atom_site_fract_z
_atom_site_occupancy
Y1 0.000 0.500 0.000 1
Al1 0.000 0.000 0.500 1
Co1 0.500 0.500 0.500 1
H1 0.500 0.500 0.000 1
```

Values from the calculation:
- DFT total energy: -0.2119 Ha/atom
- Calculated volume: 86.9 Å³/cell
- Fermi-level density of states: 1.802 states/eV per cell



No. 5
# YAl2CoH

A geometry-optimized YAl2CoH structure (GGA-PBE, Alexandria via LeMat-Bulk).

```
data_YAl2CoH
_cell_length_a 4.168
_cell_length_b 4.168
_cell_length_c 4.193
_cell_angle_alpha 90.00
_cell_angle_beta 90.00
_cell_angle_gamma 90.00
_space_group_name_H-M_alt 'P 4/m m m'
_space_group_IT_number 123
_space_group_name_Hall '-P 4 2'
loop_
_atom_site_label
_atom_site_fract_x
_atom_site_fract_y
_atom_site_fract_z
_atom_site_occupancy
Y1 0.000 0.000 0.000 1
Al1 0.000 0.500 0.500 1
Co1 0.500 0.500 0.000 1
H1 0.500 0.500 0.500 1
```

Values from the calculation:
- DFT total energy: -0.1792 Ha/atom
- Calculated volume: 72.8 Å³/cell
- Fermi-level density of states: 3.962 states/eV per cell



No. 6
# ZrAlCo2H

A geometry-optimized ZrAlCo2H structure (GGA-PBE, Alexandria via LeMat-Bulk).

```
data_ZrAlCo2H
_cell_length_a 3.099
_cell_length_b 11.025
_cell_length_c 7.039
_cell_angle_alpha 90.00
_cell_angle_beta 90.00
_cell_angle_gamma 90.00
_space_group_name_H-M_alt 'C m c m'
_space_group_IT_number 63
_space_group_name_Hall '-C 2c 2'
loop_
_atom_site_label
_atom_site_fract_x
_atom_site_fract_y
_atom_site_fract_z
_atom_site_occupancy
Zr1 0.000 0.023 0.250 1
Al1 0.000 0.249 0.750 1
Co1 0.000 0.358 0.049 1
H1 0.000 0.500 0.000 1
```

Values from the calculation:
- E above lowest polymorph: 0.0 meV per atom
- Calculated volume: 240.5 Å³/cell
- Fermi-level density of states: 12.650 states/eV per cell



| no. | spin magnetization (μB per formula unit) | theoretical density (g cm⁻³) |
| --- | --- | --- |
| 1 | 3.023 | 8.37 |
| 2 | 0.950 | 6.54 |
| 3 | 1.542 | 10.24 |
| 4 | 0.421 | 5.06 |
| 5 | 0.901 | 4.62 |
| 6 | 0.349 | 6.55 |